Entry 1:
A plane-wave DFT calculation with GGA-PBE was carried out for a relaxed structure of SiHgS2.

## Properties
- Energy relative to the elements, uncorrected: -1.83 eV/f.u.
- Size of the total moment: 0.00 μB/f.u.

Cell and atoms, written as CIF:
```
data_SiHgS2
_chemical_formula_sum 'Si8 Hg8 S16'
_cell_length_a 6.809
_cell_length_b 6.809
_cell_length_c 22.893
_cell_angle_alpha 96.28
_cell_angle_beta 96.28
_cell_angle_gamma 89.98
_space_group_name_H-M_alt 'P 1'
_space_group_IT_number 1
loop_
_space_group_symop_operation_xyz
'x,y,z'
loop_
_atom_site_label
_atom_site_fract_x
_atom_site_fract_y
_atom_site_fract_z
Si1 0.689 0.105 0.803
Si2 0.895 0.311 0.697
Si3 0.311 0.895 0.197
Si4 0.105 0.689 0.303
Si5 0.405 0.311 0.698
Si6 0.689 0.595 0.802
Si7 0.595 0.689 0.302
Si8 0.311 0.405 0.198
Hg1 0.174 0.819 0.516
Hg2 0.181 0.826 0.984
Hg3 0.826 0.181 0.484
Hg4 0.819 0.174 0.016
Hg5 0.675 0.692 0.517
Hg6 0.308 0.325 0.983
Hg7 0.325 0.308 0.483
Hg8 0.692 0.675 0.017
S1 0.288 0.627 0.136
S2 0.373 0.712 0.364
S3 0.712 0.373 0.864
S4 0.627 0.288 0.636
S5 0.071 0.409 0.250
S6 0.591 0.929 0.250
S7 0.929 0.591 0.750
S8 0.409 0.071 0.750
S9 0.871 0.709 0.360
S10 0.291 0.129 0.140
S11 0.129 0.291 0.640
S12 0.709 0.871 0.860
S13 0.071 0.929 0.250
S14 0.929 0.071 0.750
S15 0.591 0.409 0.250
S16 0.409 0.591 0.750
```

---

Entry 2:
A plane-wave DFT calculation with GGA-PBE was carried out for a relaxed structure of SiHgS2.

## Properties
- Energy relative to the elements, uncorrected: -0.74 eV/f.u.
- Size of the total moment: 0.00 μB/f.u.
- Fermi-level density of states: 0.0 states/eV/cell

Cell and atoms, written as CIF:
```
data_SiHgS2
_chemical_formula_sum 'Si2 Hg2 S4'
_cell_length_a 6.853
_cell_length_b 6.853
_cell_length_c 6.388
_cell_angle_alpha 57.56
_cell_angle_beta 57.56
_cell_angle_gamma 90.00
_space_group_name_H-M_alt 'P 1'
_space_group_IT_number 1
loop_
_space_group_symop_operation_xyz
'x,y,z'
loop_
_atom_site_label
_atom_site_fract_x
_atom_site_fract_y
_atom_site_fract_z
S1 0.504 0.125 0.250
S2 0.246 0.625 0.250
S3 0.375 0.496 0.750
S4 0.875 0.754 0.750
Si1 0.500 0.500 0.000
Si2 0.250 0.750 0.500
Hg1 0.000 0.000 0.000
Hg2 0.750 0.250 0.500
```